An optimized crystal structure of SrOs2. Source: the Alexandria database, functional PBE-GGA.

The structure belongs to space group P-62m (No. 189); the cell edges are 8.4069, 8.4069 and 4.1529 Å and the angles 90.00°, 90.00° and 120.00°. The distinct sites, in fractional coordinates, are Sr at (0.0000, 0.0000, 0.0000), Sr at (0.3333, 0.6667, 0.5000), Os at (0.0000, 0.2559, 0.5000) and Os at (0.0000, 0.3867, 0.0000).

The crystal system is hexagonal. The density of states at the Fermi level comes out at 10.21 states/eV/cell. Its calculated volume is 254.2 Å³/cell. Its energy relative to the elements is 1.280 eV per atom.